[1]
Material: Pm2TmPaBi4
Method: DFT, PBE
State: optimized geometry

abc: 4.5088 7.8136 7.8430
angles: 109.27 90.00 90.00
Site moments in Bohr magnetons follow the coordinates.
Positions (direct):
Pm 0.5000 0.0000 0.5000  0.01
Pm 0.0000 0.5000 0.5000  0.02
Tm 0.5000 0.5000 0.0000  -0.01
Pa 0.0000 0.0000 0.0000  0.91
Bi 0.5000 0.2499 0.2429  -0.02
Bi 0.5000 0.7501 0.7571  -0.02
Bi 0.0000 0.2543 0.7598  -0.01
Bi 0.0000 0.7457 0.2402  -0.01

* formation enthalpy at 0 K: -0.6753 eV/atom
* density of states at the Fermi level: 0.91 states/eV per atom
* total magnetization: 1.0 μB per formula unit
* calculated volume: 32.60 Å³/atom
* density: 9.71 g cm⁻³
* electronic total energy: -5.549 eV/atom


[2]
Material: LaPm4Sm7
Method: DFT, PBE
State: optimized geometry

abc: 6.0706 11.8136 6.8240
angles: 83.19 63.59 75.11
Positions (direct):
La 0.0000 0.0000 0.0000
Pm 0.6340 0.2237 0.5082
Pm 0.3660 0.7763 0.4918
Pm 0.7545 0.6797 0.8112
Pm 0.2455 0.3203 0.1888
Sm 0.7904 0.9212 0.4979
Sm 0.2096 0.0788 0.5021
Sm 0.0608 0.6704 0.2080
Sm 0.9392 0.3296 0.7920
Sm 0.3691 0.5013 0.7604
Sm 0.5000 0.0000 0.0000
Sm 0.6309 0.4987 0.2396

* ΔE to the lowest computed polymorph: 220 meV per atom
* formation enthalpy at 0 K: 0.2314 eV/atom
* density of states at the Fermi level: 1.56 states/eV per atom
* total magnetization: 0.0 μB per formula unit
* calculated volume: 35.30 Å³/atom
* density: 6.94 g cm⁻³
* electronic total energy: -4.516 eV/atom


[3]
Material: Cs2ZnAsH
Method: DFT, PBE
State: optimized geometry

abc: 4.2911 7.6675 10.6549
angles: 110.21 90.00 90.00
Positions (direct):
Cs 0.7500 0.8058 0.5914
Cs 0.7500 0.7817 0.0519
Cs 0.2500 0.1942 0.4086
Cs 0.2500 0.2183 0.9481
Zn 0.2500 0.5377 0.7562
Zn 0.7500 0.4623 0.2438
As 0.2500 0.6316 0.2828
As 0.7500 0.3684 0.7172
H 0.2500 0.7763 0.8186
H 0.7500 0.2237 0.1814

* total magnetization: 0.0 μB per formula unit
* calculated volume: 32.90 Å³/atom
* density: 4.11 g cm⁻³
* electronic total energy: -2.549 eV/atom


[4]
Material: KNbO3
Method: DFT, PBE
State: optimized geometry

abc: 4.0894 4.0894 4.0894
angles: 89.79 89.79 89.79
Positions (direct):
Nb 0.5538 0.5538 0.5538
K 0.0663 0.0663 0.0663
O 0.5836 0.0876 0.5836
O 0.0876 0.5836 0.5836
O 0.5836 0.5836 0.0876

* formation energy (no corrections): -2.45 eV/atom
* density of states at the Fermi level: 0.00 states/eV per atom
* total magnetization: 0.0 μB per formula unit
* calculated volume: 13.68 Å³/atom
* density: 4.37 g cm⁻³
* electronic total energy: -7.655 eV/atom


[5]
Material: Na2MgCd2Hg4
Method: DFT, PBE
State: optimized geometry

abc: 4.0554 7.7179 7.6169
angles: 107.04 105.44 90.00
Positions (direct):
Na 0.1226 0.6378 0.2452
Na 0.8774 0.3622 0.7548
Mg 0.0000 0.0000 0.0000
Cd 0.6687 0.9917 0.3373
Cd 0.3313 0.0083 0.6627
Hg 0.2054 0.3110 0.4107
Hg 0.7946 0.6890 0.5893
Hg 0.4698 0.6982 0.9396
Hg 0.5302 0.3018 0.0604

* formation enthalpy at 0 K: -0.1474 eV/atom
* density of states at the Fermi level: 0.31 states/eV per atom
* total magnetization: 0.0 μB per formula unit
* calculated volume: 24.33 Å³/atom
* density: 8.32 g cm⁻³
* electronic total energy: -0.955 eV/atom


[6]
Material: Rb2CoSnCl6
Method: DFT, PBE
State: optimized geometry

abc: 7.4068 7.3906 7.4085
angles: 120.08 120.01 89.97
Site moments in Bohr magnetons follow the coordinates.
Positions (direct):
Rb 0.7499 0.2503 0.4997  0.00
Rb 0.2500 0.7505 0.4999  0.00
Co 0.9999 0.0004 0.9998  2.36
Sn 0.4999 0.5004 0.9998  0.06
Cl 0.7655 0.7670 0.0006  0.04
Cl 0.7657 0.7671 0.5313  0.04
Cl 0.2343 0.2338 0.9989  0.04
Cl 0.7647 0.2337 0.9988  0.04
Cl 0.2341 0.2336 0.4683  0.04
Cl 0.2350 0.7671 0.0007  0.04

* formation energy (no corrections): -1.24 eV/atom
* density of states at the Fermi level: 0.17 states/eV per atom
* total magnetization: 2.8 μB per formula unit
* calculated volume: 28.64 Å³/atom
* density: 3.25 g cm⁻³
* electronic total energy: -3.657 eV/atom


[7]
Material: Mg2AlCr
Method: DFT, PBE
State: optimized geometry

abc: 2.7703 2.7703 8.8283
angles: 90.00 90.00 90.00
Positions (direct):
Al 0.5000 0.5000 0.2500
Cr 0.5000 0.5000 0.7500
Mg 0.0000 0.0000 0.9848
Mg 0.0000 0.0000 0.5152

* formation enthalpy at 0 K: 0.3549 eV/atom
* density of states at the Fermi level: 0.42 states/eV per atom
* total magnetization: 0.0 μB per formula unit
* calculated volume: 16.94 Å³/atom
* density: 3.13 g cm⁻³
* electronic total energy: -3.784 eV/atom


[8]
Material: Mn4FeCo
Method: DFT, PBE
State: optimized geometry

abc: 4.5645 4.5645 4.5645
angles: 60.00 60.00 60.00
Site moments in Bohr magnetons follow the coordinates.
Positions (direct):
Mn 0.8738 0.3754 0.3754  -0.09
Mn 0.3754 0.3754 0.8738  -0.09
Mn 0.3754 0.8738 0.3754  -0.09
Mn 0.3754 0.3754 0.3754  -0.09
Fe 0.0000 0.0000 0.0000  2.22
Co 0.7500 0.7500 0.7500  1.00

* ΔE to the lowest computed polymorph: 128 meV per atom
* formation enthalpy at 0 K: 0.2423 eV/atom
* density of states at the Fermi level: 0.99 states/eV per atom
* total magnetization: 2.8 μB per formula unit
* calculated volume: 11.21 Å³/atom
* density: 8.26 g cm⁻³
* electronic total energy: -8.465 eV/atom


[9]
Material: LiReHg
Method: DFT, PBE
State: optimized geometry

abc: 5.0997 5.0997 5.0997
angles: 149.66 131.23 58.53
Site moments in Bohr magnetons follow the coordinates.
Positions (direct):
Hg 0.9942 0.9942 0.0000  0.01
Li 0.3349 0.3349 0.0000  0.00
Re 0.6709 0.6709 0.0000  0.58

* ΔE to the lowest computed polymorph: 266 meV per atom
* formation enthalpy at 0 K: 0.7012 eV/atom
* density of states at the Fermi level: 0.66 states/eV per atom
* total magnetization: 0.7 μB per formula unit
* calculated volume: 16.67 Å³/atom
* density: 13.07 g cm⁻³
* electronic total energy: -4.187 eV/atom


[10]
Material: ZrPH
Method: DFT, PBE
State: optimized geometry

abc: 3.7921 3.7011 6.8483
angles: 105.68 106.07 90.00
Positions (direct):
Zr 0.8641 0.3641 0.7283
Zr 0.1359 0.6359 0.2717
P 0.3531 0.8531 0.7061
P 0.6469 0.1469 0.2939
H 0.2566 0.5000 0.0000
H 0.7434 0.5000 0.0000

* ΔE to the lowest computed polymorph: 388 meV per atom
* density of states at the Fermi level: 0.15 states/eV per atom
* total magnetization: 0.0 μB per formula unit
* calculated volume: 14.77 Å³/atom
* density: 4.62 g cm⁻³
* electronic total energy: -6.410 eV/atom


[11]
Material: Ca2AlRh3
Method: DFT, PBE
State: optimized geometry

abc: 5.1577 5.1577 5.1577
angles: 65.66 65.66 65.66
Positions (direct):
Ca 0.3729 0.3729 0.3729
Ca 0.6271 0.6271 0.6271
Al 0.0000 0.0000 0.0000
Rh 0.0000 0.0000 0.5000
Rh 0.5000 0.0000 0.0000
Rh 0.0000 0.5000 0.0000

* formation enthalpy at 0 K: -0.6324 eV/atom
* density of states at the Fermi level: 0.51 states/eV per atom
* total magnetization: 0.0 μB per formula unit
* calculated volume: 18.16 Å³/atom
* density: 6.34 g cm⁻³
* electronic total energy: -5.599 eV/atom


[12]
Material: YCd2W
Method: DFT, PBE
State: optimized geometry

abc: 6.0370 6.0370 6.0370
angles: 147.42 132.13 59.10
Positions (direct):
Cd 0.9755 0.9755 0.0000
Cd 0.5245 0.5245 0.0000
W 0.7500 0.2500 0.5000
Y 0.2500 0.7500 0.5000

* ΔE to the lowest computed polymorph: 110 meV per atom
* formation enthalpy at 0 K: 0.4206 eV/atom
* density of states at the Fermi level: 1.05 states/eV per atom
* total magnetization: 0.0 μB per formula unit
* calculated volume: 21.78 Å³/atom
* density: 9.48 g cm⁻³
* electronic total energy: -4.891 eV/atom